The following is a PBE-GGA calculation of crystalline TbEr3Ru at its relaxed geometry, from Alexandria.

- D(E_F) (states/eV/cell) = 21.76
- M_tot (Bohr magnetons per cell) = 0.9
- ΔE_f (eV/atom) = -0.22

a b c (Å): 11.6317 8.4553 7.9964
angles (deg): 90.00 133.13 90.00
Space group C2/m (No. 12)
Inequivalent atoms, fractional coordinates:
Tb: 0.0533 0.0000 0.3449 x4
Er: 0.0541 0.5000 0.2578 x4
Er: 0.2486 0.3030 0.7944 x8
Ru: 0.2492 0.5000 0.1198 x4

=====

The following is a PBE-GGA calculation of crystalline TbEr4Ru5 at its relaxed geometry, from Alexandria.

- D(E_F) (states/eV/cell) = 13.02
- M_tot (Bohr magnetons per cell) = 0.0
- ΔE_f (eV/atom) = -0.36

a b c (Å): 3.3812 3.3812 16.8668
angles (deg): 90.00 90.00 90.00
Space group P4/mmm (No. 123)
Inequivalent atoms, fractional coordinates:
Tb: 0.0000 0.0000 0.0000 x1
Er: 0.0000 0.0000 0.2014 x2
Er: 0.0000 0.0000 0.4004 x2
Ru: 0.5000 0.5000 0.1017 x2
Ru: 0.5000 0.5000 0.3010 x2
Ru: 0.5000 0.5000 0.5000 x1